MnFe2Os (PBE, optimized geometry); space-group type = P4/mmm, No. 123; calculated volume = 11.81 A^3/atom; formation enthalpy at 0 K = 0.139 eV/atom; density of states at the Fermi level = 4.6 states/eV/f.u.
1.0
2.575 0.013 0.000
-0.014 2.575 0.000
0.000 0.000 7.123
Fe Mn Os
2 1 1
direct
0.000 0.000 0.008
0.000 0.000 0.492
0.500 0.500 0.250
0.500 0.500 0.750

=====

Mn3FeOs (PBE, optimized geometry); space-group type = Pm-3m, No. 221; calculated volume = 13.44 A^3/atom; formation enthalpy at 0 K = 1.412 eV/atom; density of states at the Fermi level = 10.2 states/eV/f.u.
1.0
4.066 0.000 0.000
0.000 4.066 0.000
0.000 0.000 4.066
Mn Os Fe
3 1 1
direct
0.000 0.500 0.000
0.000 0.000 0.500
0.500 0.000 0.000
0.500 0.500 0.500
0.000 0.000 0.000

=====

Mn2Fe2Os (PBE, optimized geometry); space-group type = P4/mbm, No. 127; calculated volume = 11.36 A^3/atom; formation enthalpy at 0 K = 0.160 eV/atom; density of states at the Fermi level = 4.6 states/eV/f.u.
1.0
6.647 0.000 0.000
0.000 6.647 0.000
0.000 0.000 2.572
Mn Os Fe
4 2 4
direct
0.173 0.673 0.500
0.673 0.827 0.500
0.827 0.327 0.500
0.327 0.173 0.500
0.000 0.000 0.000
0.500 0.500 0.000
0.377 0.877 0.000
0.877 0.623 0.000
0.623 0.123 0.000
0.123 0.377 0.000

=====

Mn5FeOs (PBE, optimized geometry); space-group type = Cm, No. 8; calculated volume = 12.16 A^3/atom; formation enthalpy at 0 K = 0.213 eV/atom; density of states at the Fermi level = 6.9 states/eV/f.u.
1.0
-3.344 1.603 3.995
1.480 1.923 4.366
-0.686 4.738 1.424
Mn Fe Os
5 1 1
direct
0.068 0.165 0.165
0.110 0.549 0.549
0.060 0.866 0.866
0.579 0.082 0.617
0.579 0.617 0.082
0.458 0.173 0.173
0.677 0.547 0.547

=====

MnFeReOs (PBE, optimized geometry); space-group type = F-43m, No. 216; calculated volume = 13.63 A^3/atom; formation enthalpy at 0 K = 0.165 eV/atom; density of states at the Fermi level = 3.4 states/eV/f.u.
1.0
4.257 0.000 0.000
2.128 3.686 0.000
2.128 1.229 3.475
Re Mn Os Fe
1 1 1 1
direct
0.500 0.500 0.500
0.000 0.000 0.000
0.250 0.250 0.250
0.750 0.750 0.750

=====

MnZnFe2Os (PBE, optimized geometry); space-group type = P4/mmm, No. 123; calculated volume = 19.52 A^3/atom; formation enthalpy at 0 K = 1.367 eV/atom; density of states at the Fermi level = 9.6 states/eV/f.u.
1.0
4.533 0.000 0.000
0.000 4.749 0.000
0.000 0.000 4.533
Zn Mn Os Fe
1 1 1 2
direct
0.000 0.500 0.000
0.500 0.500 0.500
0.000 0.000 0.000
0.000 0.000 0.500
0.500 0.000 0.000

=====

MnFe2P (PBE, optimized geometry); space-group type = R3m, No. 160; calculated volume = 11.81 A^3/atom; formation enthalpy at 0 K = -0.158 eV/atom; density of states at the Fermi level = 4.1 states/eV/f.u.
1.0
3.748 0.000 0.000
-1.874 3.246 0.000
0.000 0.000 11.643
Mn Fe P
3 6 3
direct
0.000 0.000 0.400
0.333 0.667 0.066
0.667 0.333 0.733
0.000 0.000 0.828
0.333 0.667 0.495
0.667 0.333 0.161
0.000 0.000 0.618
0.333 0.667 0.285
0.667 0.333 0.952
0.000 0.000 0.199
0.333 0.667 0.866
0.667 0.333 0.532

=====

Mn2FeP (PBE, optimized geometry); space-group type = P4/mmm, No. 123; calculated volume = 10.70 A^3/atom; formation enthalpy at 0 K = -0.174 eV/atom; density of states at the Fermi level = 2.9 states/eV/f.u.
1.0
-0.142 0.346 -3.881
-3.096 -2.369 -0.098
-1.708 2.222 0.260
Fe Mn P
1 2 1
direct
0.000 0.500 0.500
0.000 0.000 0.000
0.500 0.500 0.000
0.500 0.000 0.500